Here is an optimized crystal structure of Ta2TeBr from Alexandria via LeMat-Bulk. Energies are from PBE.

## Properties
- Spin magnetization: 0.00 μB/f.u.
- Formation energy without anion corrections: 0.66 eV/atom
- Energy above the lowest structure with this stoichiometry: 907 meV per atom
- SG: C2/m (12)

Cell: 5.631 5.631 3.027 Å, 101.14 101.14 110.50°
Fractional positions:
Ta: 0.000 0.500 0.000
Ta: 0.500 0.000 0.000
Te: 0.000 0.000 0.000
Br: 0.500 0.500 0.000

---

Here is an optimized crystal structure of Ta3TeBr from Alexandria via LeMat-Bulk. Energies are from PBE.

## Properties
- Spin magnetization: 0.00 μB/f.u.
- Formation energy without anion corrections: 1.48 eV/atom
- Energy above the lowest structure with this stoichiometry: 0 meV per atom
- SG: Pm-3m (221)

Cell: 4.790 4.790 4.790 Å, 90.00 90.00 90.00°
Fractional positions:
Ta: 0.000 0.000 0.500
Ta: 0.000 0.500 0.000
Ta: 0.500 0.000 0.000
Te: 0.500 0.500 0.500
Br: 0.000 0.000 0.000

---

Here is an optimized crystal structure of TaTe2Br from Alexandria via LeMat-Bulk. Energies are from PBE.

## Properties
- Spin magnetization: 0.00 μB/f.u.
- Formation energy without anion corrections: -0.37 eV/atom
- Energy above the lowest structure with this stoichiometry: 0 meV per atom
- SG: Cm (8)

Cell: 7.002 7.002 7.518 Å, 119.28 119.28 27.38°
Fractional positions:
Ta: 0.000 0.000 0.000
Te: 0.340 0.340 0.698
Te: 0.505 0.505 0.300
Br: 0.651 0.651 0.002